First-principles (PBE-GGA) data for an optimized crystal structure of La2DyMg3CdIn2, as listed in OQMD.

Cell lengths 4.7755, 7.6888, 7.6888 Å; angles 119.17, 90.00, 90.00 degrees
With the nearest neighbours (Å) after each atom.
Sites, in units of the cell vectors:
Cd: 0.0000 0.9912 0.9912  6 Mg 3.00-3.07, 1 Dy 3.21, 2 La 3.29
La: 0.0000 0.4245 0.0021  1 Cd 3.29, 4 In 3.35, 4 Mg 3.52-3.69
La: 0.0000 0.0021 0.4245  1 Cd 3.29, 4 In 3.35, 4 Mg 3.52-3.69
Mg: 0.5000 0.2388 0.2388  2 In 2.98, 2 Cd 3.07, 2 Mg 3.22
Mg: 0.5000 0.9991 0.7600  2 In 2.99-3.05, 2 Cd 3.00, 2 Mg 3.17-3.22
Mg: 0.5000 0.7600 0.9991  2 In 2.99-3.05, 2 Cd 3.00, 2 Mg 3.17-3.22
Dy: 0.0000 0.5789 0.5789  1 Cd 3.21, 4 In 3.27, 2 Mg 3.57
In: 0.5000 0.3403 0.6651  3 Mg 2.98-3.05, 2 Dy 3.27
In: 0.5000 0.6651 0.3403  3 Mg 2.98-3.05, 2 Dy 3.27

## Properties
- size of the total moment (μB per cell) = 0.01
- total DFT energy (no corrections) (eV per atom) = -3.214
- symmetry = No. 38
- density (kg/m³) = 5761